[1]
This record from the Alexandria database describes a relaxed structure of Ac2TlBi3. The functional is GGA-PBE.

Cell lengths 6.6387, 9.8008, 8.6085 Å; angles 106.56, 112.68, 90.00 degrees
With the nearest neighbours (Å) after each atom.
Fractional coordinates of all 12 atoms:
Bi 0.5041 0.2500 0.0000  2 Tl 3.32, 4 Ac 3.49
Bi 0.8244 0.4120 0.6477  4 Ac 3.32-3.44, 2 Tl 3.62
Bi 0.1768 0.0880 0.3523  4 Ac 3.32-3.44, 2 Tl 3.62
Bi 0.1756 0.5880 0.3523  4 Ac 3.32-3.44, 2 Tl 3.62
Bi 0.4959 0.7500 0.0000  2 Tl 3.32, 4 Ac 3.49
Bi 0.8232 0.9120 0.6477  4 Ac 3.32-3.44, 2 Tl 3.62
Ac 0.3352 0.9179 0.6717  6 Bi 3.32-3.49
Ac 0.6648 0.0821 0.3283  6 Bi 3.32-3.49
Ac 0.6636 0.5821 0.3283  6 Bi 3.32-3.49
Ac 0.3364 0.4179 0.6717  6 Bi 3.32-3.49
Tl 0.9962 0.7500 0.0000  6 Bi 3.32-3.62
Tl 0.0038 0.2500 0.0000  6 Bi 3.32-3.62

Values from the calculation:
Mass density   8.7 Mg/m³
Energy of formation from the pure elements   -0.4740 eV/atom
DFT total energy   -50.140 eV for the cell shown



[2]
This record from the Alexandria database describes a relaxed structure of Ac10Tl3Bi3. The functional is GGA-PBE.

Cell lengths 7.3450, 9.9633, 9.9633 Å; angles 120.00, 90.00, 90.00 degrees
With the nearest neighbours (Å) after each atom.
Fractional coordinates of all 16 atoms:
Ac 0.0000 0.0000 0.2421  3 Tl 3.45-3.60
Ac 0.2517 0.6667 0.3333  3 Bi 3.57, 3 Tl 3.57, 2 Ac 3.65-3.70
Ac 0.0000 0.2421 0.0000  3 Tl 3.45-3.60
Ac 0.2517 0.3333 0.6667  3 Bi 3.57, 3 Tl 3.57, 2 Ac 3.65-3.70
Ac 0.5000 0.2418 0.2418  3 Bi 3.41-3.65
Ac 0.7483 0.3333 0.6667  3 Bi 3.57, 3 Tl 3.57, 2 Ac 3.65-3.70
Ac 0.5000 0.7582 0.0000  3 Bi 3.41-3.65
Ac 0.0000 0.7579 0.7579  3 Tl 3.45-3.60
Ac 0.5000 0.0000 0.7582  3 Bi 3.41-3.65
Ac 0.7483 0.6667 0.3333  3 Bi 3.57, 3 Tl 3.57, 2 Ac 3.65-3.70
Tl 0.0000 0.6038 0.0000  7 Ac 3.45-3.60
Tl 0.0000 0.3962 0.3962  7 Ac 3.45-3.60
Tl 0.0000 0.0000 0.6038  7 Ac 3.45-3.60
Bi 0.5000 0.6080 0.6080  7 Ac 3.41-3.65
Bi 0.5000 0.3920 0.0000  7 Ac 3.41-3.65
Bi 0.5000 0.0000 0.3920  7 Ac 3.41-3.65

Values from the calculation:
Mass density   9.2 Mg/m³
Energy of formation from the pure elements   -0.4926 eV/atom
DFT total energy   -67.707 eV for the cell shown



[3]
This record from the Alexandria database describes a relaxed structure of Ac2TlBi. The functional is GGA-PBE.

Cell lengths 4.5703, 4.5703, 9.4287 Å; angles 75.99, 75.99, 60.02 degrees
With the nearest neighbours (Å) after each atom.
Fractional coordinates of all 4 atoms:
Ac 0.2548 0.2548 0.2352  3 Bi 3.40, 3 Tl 3.56-3.57
Ac 0.0776 0.0776 0.7671  3 Bi 3.36-3.37, 3 Tl 3.58
Tl 0.5002 0.5002 0.5000  6 Ac 3.56-3.58
Bi 0.6673 0.6673 0.9977  6 Ac 3.36-3.40

Values from the calculation:
Mass density   8.8 Mg/m³
Energy of formation from the pure elements   -0.5079 eV/atom
Offset from the most stable computed form   14.2 kJ/mol of atoms
DFT total energy   -16.496 eV for the cell shown



[4]
This record from the Alexandria database describes a relaxed structure of AcTl2Bi. The functional is GGA-PBE.

Cell lengths 5.7149, 5.7149, 5.7149 Å; angles 60.00, 60.00, 60.00 degrees
With the nearest neighbours (Å) after each atom.
Fractional coordinates of all 4 atoms:
Tl 0.7500 0.7500 0.7500  4 Bi 3.50, 4 Ac 3.50
Tl 0.2500 0.2500 0.2500  4 Bi 3.50, 4 Ac 3.50
Ac 0.0000 0.0000 0.0000  8 Tl 3.50
Bi 0.5000 0.5000 0.5000  8 Tl 3.50

Values from the calculation:
Mass density   10.6 Mg/m³
Energy of formation from the pure elements   -0.2524 eV/atom
Offset from the most stable computed form   18.5 kJ/mol of atoms
DFT total energy   -13.732 eV for the cell shown



[5]
This record from the Alexandria database describes a relaxed structure of Ac3TlBi. The functional is GGA-PBE.

Cell lengths 7.1746, 13.0396, 10.5844 Å; angles 126.97, 90.00, 90.00 degrees
With the nearest neighbours (Å) after each atom.
Fractional coordinates of all 20 atoms:
Tl 0.7457 0.6503 0.0486  6 Ac 3.27-3.60
Tl 0.2457 0.8497 0.4514  6 Ac 3.27-3.60
Tl 0.7543 0.1503 0.5486  6 Ac 3.27-3.60
Tl 0.2543 0.3497 0.9514  6 Ac 3.27-3.60
Ac 0.7470 0.8450 0.4655  4 Tl 3.52-3.60, 2 Bi 3.59
Ac 0.9994 0.2494 0.2506  4 Bi 3.57-3.58, 6 Ac 3.59-3.94
Ac 0.7494 0.4457 0.6626  2 Tl 3.27, 2 Bi 3.66
Ac 0.2530 0.1550 0.5345  4 Tl 3.52-3.60, 2 Bi 3.59
Ac 0.7506 0.9457 0.1626  2 Tl 3.27, 2 Bi 3.66
Ac 0.2494 0.0543 0.8374  2 Tl 3.27, 2 Bi 3.66
Ac 0.4994 0.2506 0.2494  4 Bi 3.57-3.58, 6 Ac 3.59-3.94
Ac 0.2506 0.5543 0.3374  2 Tl 3.27, 2 Bi 3.66
Ac 0.0006 0.7506 0.7494  4 Bi 3.57-3.58, 6 Ac 3.59-3.94
Ac 0.2470 0.6550 0.0345  4 Tl 3.52-3.60, 2 Bi 3.59
Ac 0.5006 0.7494 0.7506  4 Bi 3.57-3.58, 6 Ac 3.59-3.94
Ac 0.7530 0.3450 0.9655  4 Tl 3.52-3.60, 2 Bi 3.59
Bi 0.7505 0.5369 0.3890  9 Ac 3.57-3.73
Bi 0.2495 0.4631 0.6110  9 Ac 3.57-3.73
Bi 0.2505 0.9631 0.1110  9 Ac 3.57-3.73
Bi 0.7495 0.0369 0.8890  9 Ac 3.57-3.73

Values from the calculation:
Mass density   9.2 Mg/m³
Energy of formation from the pure elements   -0.4567 eV/atom
DFT total energy   -83.424 eV for the cell shown



[6]
This record from the Alexandria database describes a relaxed structure of Ac8Tl3Bi2. The functional is GGA-PBE.

Cell lengths 6.9996, 8.9975, 9.6801 Å; angles 117.69, 93.28, 90.00 degrees
With the nearest neighbours (Å) after each atom.
Fractional coordinates of all 13 atoms:
Tl 0.0000 0.1692 0.0000  1 Tl 3.05, 2 Ac 3.38
Tl 0.5000 0.0000 0.0000  6 Ac 3.42-3.77, 4 Tl 3.82
Tl 0.0000 0.8308 0.0000  1 Tl 3.05, 2 Ac 3.38
Ac 0.6247 0.5957 0.7635  2 Bi 3.37-3.47, 2 Tl 3.38-3.42
Ac 0.3753 0.8321 0.2365  2 Bi 3.37-3.47, 2 Tl 3.38-3.42
Ac 0.8570 0.1742 0.3484  3 Tl 3.55-3.77, 2 Bi 3.66-3.74
Ac 0.1430 0.8258 0.6516  3 Tl 3.55-3.77, 2 Bi 3.66-3.74
Ac 0.6247 0.1679 0.7635  2 Bi 3.37-3.47, 2 Tl 3.38-3.42
Ac 0.1287 0.4100 0.8200  1 Bi 3.37, 2 Tl 3.50, 1 Ac 3.67
Ac 0.3753 0.4043 0.2365  2 Bi 3.37-3.47, 2 Tl 3.38-3.42
Ac 0.8713 0.5900 0.1800  1 Bi 3.37, 2 Tl 3.50, 1 Ac 3.67
Bi 0.3624 0.2443 0.4886  7 Ac 3.37-3.74
Bi 0.6376 0.7557 0.5114  7 Ac 3.37-3.74

Values from the calculation:
Mass density   8.8 Mg/m³
Energy of formation from the pure elements   -0.2973 eV/atom
DFT total energy   -51.593 eV for the cell shown



[7]
This record from the Alexandria database describes a relaxed structure of Ac5Tl2Bi. The functional is GGA-PBE.

Cell lengths 9.3065, 9.3065, 9.6924 Å; angles 118.69, 118.69, 90.00 degrees
With the nearest neighbours (Å) after each atom.
Fractional coordinates of all 16 atoms:
Ac 0.9911 0.4911 0.2950  3 Tl 3.38-3.49
Ac 0.1961 0.0089 0.7050  3 Tl 3.38-3.49
Ac 0.6961 0.1961 0.7050  3 Tl 3.38-3.49
Ac 0.4911 0.3039 0.2950  3 Tl 3.38-3.49
Ac 0.5000 0.5000 0.0000  2 Bi 3.56, 4 Tl 3.58
Ac 0.3039 0.8039 0.2950  3 Tl 3.38-3.49
Ac 0.5089 0.6961 0.7050  3 Tl 3.38-3.49
Ac 0.0000 0.0000 0.0000  2 Bi 3.56, 4 Tl 3.58
Ac 0.0089 0.5089 0.7050  3 Tl 3.38-3.49
Ac 0.8039 0.9911 0.2950  3 Tl 3.38-3.49
Bi 0.7500 0.7500 0.5000  10 Ac 3.56-3.80
Bi 0.2500 0.2500 0.5000  10 Ac 3.56-3.80
Tl 0.8577 0.6423 0.0000  8 Ac 3.38-3.58, 1 Tl 3.75
Tl 0.1423 0.3577 0.0000  8 Ac 3.38-3.58, 1 Tl 3.75
Tl 0.6423 0.1423 0.0000  8 Ac 3.38-3.58, 1 Tl 3.75
Tl 0.3577 0.8577 0.0000  8 Ac 3.38-3.58, 1 Tl 3.75

Values from the calculation:
Mass density   9.4 Mg/m³
Energy of formation from the pure elements   -0.4242 eV/atom
DFT total energy   -65.098 eV for the cell shown



[8]
This record from the Alexandria database describes a relaxed structure of Ac4Tl2Bi. The functional is GGA-PBE.

Cell lengths 8.8864, 8.8887, 8.8856 Å; angles 109.42, 109.42, 109.56 degrees
With the nearest neighbours (Å) after each atom.
Fractional coordinates of all 14 atoms:
Ac 0.2362 0.1281 0.7506  4 Tl 3.39-3.71, 2 Bi 3.43-3.71
Ac 0.8716 0.6221 0.1079  4 Tl 3.39-3.71, 2 Bi 3.43-3.72
Ac 0.8722 0.6217 0.6081  4 Tl 3.39-3.71, 2 Bi 3.43-3.71
Ac 0.3777 0.4858 0.2493  4 Tl 3.39-3.71, 2 Bi 3.43-3.72
Ac 0.0137 0.2645 0.3921  4 Tl 3.39-3.71, 2 Bi 3.43-3.71
Ac 0.7359 0.1278 0.7494  4 Tl 3.39-3.71, 2 Bi 3.43-3.72
Ac 0.3782 0.9862 0.2505  4 Tl 3.39-3.71, 2 Bi 3.43-3.71
Ac 0.5144 0.7637 0.8920  4 Tl 3.39-3.71, 2 Bi 3.43-3.71
Tl 0.6248 0.2475 0.1225  8 Ac 3.39-3.71
Tl 0.7526 0.8751 0.3775  8 Ac 3.39-3.71
Tl 0.1251 0.5026 0.8776  8 Ac 3.39-3.71
Tl 0.4976 0.3749 0.6225  8 Ac 3.39-3.71
Bi 0.0001 0.0000 0.0000  8 Ac 3.43-3.72
Bi 0.2499 0.7499 0.5000  8 Ac 3.43-3.72

Values from the calculation:
Mass density   9.4 Mg/m³
Energy of formation from the pure elements   -0.4723 eV/atom
DFT total energy   -56.706 eV for the cell shown



[9]
This record from the Alexandria database describes a relaxed structure of Ac2TlBi. The functional is GGA-PBE.

Cell lengths 4.6020, 8.8847, 15.7508 Å; angles 90.00, 90.00, 90.00 degrees
With the nearest neighbours (Å) after each atom.
Fractional coordinates of all 16 atoms:
Ac 0.2500 0.6908 0.4930  3 Tl 3.37-3.50, 3 Bi 3.51-3.56
Ac 0.7500 0.1793 0.7610  4 Bi 3.44-3.53, 2 Tl 3.53-3.57
Ac 0.7500 0.6793 0.7390  4 Bi 3.44-3.53, 2 Tl 3.53-3.57
Ac 0.2500 0.3207 0.2610  4 Bi 3.44-3.53, 2 Tl 3.53-3.57
Ac 0.7500 0.3092 0.5070  3 Tl 3.37-3.50, 3 Bi 3.51-3.56
Ac 0.2500 0.1908 0.0070  3 Tl 3.37-3.50, 3 Bi 3.51-3.56
Ac 0.2500 0.8207 0.2390  4 Bi 3.44-3.53, 2 Tl 3.53-3.57
Ac 0.7500 0.8092 0.9930  3 Tl 3.37-3.50, 3 Bi 3.51-3.56
Tl 0.2500 0.0503 0.4251  5 Ac 3.37-3.57, 2 Tl 3.41
Tl 0.7500 0.4497 0.9251  5 Ac 3.37-3.57, 2 Tl 3.41
Tl 0.2500 0.5503 0.0749  5 Ac 3.37-3.57, 2 Tl 3.41
Tl 0.7500 0.9497 0.5749  5 Ac 3.37-3.57, 2 Tl 3.41
Bi 0.7500 0.5748 0.3379  7 Ac 3.44-3.56
Bi 0.2500 0.4252 0.6621  7 Ac 3.44-3.56
Bi 0.7500 0.0748 0.1621  7 Ac 3.44-3.56
Bi 0.2500 0.9252 0.8379  7 Ac 3.44-3.56

Values from the calculation:
Mass density   8.9 Mg/m³
Energy of formation from the pure elements   -0.5059 eV/atom
Offset from the most stable computed form   14.4 kJ/mol of atoms
DFT total energy   -65.951 eV for the cell shown



[10]
This record from the Alexandria database describes a relaxed structure of Ac2TlBi. The functional is GGA-PBE.

Cell lengths 5.5377, 5.5377, 6.4876 Å; angles 64.74, 64.74, 60.00 degrees
With the nearest neighbours (Å) after each atom.
Fractional coordinates of all 4 atoms:
Bi 0.0000 0.0000 0.0000  6 Ac 3.50
Ac 0.7501 0.7501 0.7498  3 Tl 3.49, 3 Bi 3.50
Ac 0.2499 0.2499 0.2502  3 Tl 3.49, 3 Bi 3.50
Tl 0.5000 0.5000 0.5000  6 Ac 3.49

Values from the calculation:
Mass density   9.6 Mg/m³
Energy of formation from the pure elements   -0.5113 eV/atom
Offset from the most stable computed form   13.9 kJ/mol of atoms
DFT total energy   -16.509 eV for the cell shown